A plane-wave DFT calculation with PBE-GGA was carried out for crystalline Ga2Au5 at its relaxed geometry.

Output
* energy: -3.32 eV per atom
* Fermi-level density of states: 3.86 states/eV/cell

```
data_Ga2Au5
_cell_length_a 12.792
_cell_length_b 6.478
_cell_length_c 6.333
_cell_angle_alpha 90.00
_cell_angle_beta 95.07
_cell_angle_gamma 90.00
_symmetry_space_group_name_H-M 'C 1 2/c 1'
_symmetry_Int_Tables_number 15
_symmetry_space_group_name_Hall '-C 2yc'
loop_
_atom_site_label
_atom_site_fract_x
_atom_site_fract_y
_atom_site_fract_z
_atom_site_occupancy
Ga1 0.085 0.186 0.027 1
Au1 0.000 0.456 0.750 1
Au2 0.122 0.204 0.457 1
Au3 0.223 0.422 0.829 1
```